Density functional theory data (GGA-PBE) for B3Rh7 after structural relaxation.

```
20
Lattice="7.507 0.000 0.000 -3.754 6.501 0.000 0.000 0.000 4.875" Properties=species:S:1:pos:R:3 pbc="T T T"
B 0.000 2.463 0.000
B -1.621 5.270 0.000
B 2.133 1.231 2.438
B 1.621 5.270 0.000
B 5.374 1.231 2.438
B 3.754 4.039 2.438
Rh -1.386 3.534 3.652
Rh 0.000 1.596 1.909
Rh -2.372 5.703 1.909
Rh 1.382 0.798 4.347
Rh 0.000 4.334 1.194
Rh 1.386 3.534 3.652
Rh 0.000 5.935 3.652
Rh 3.754 0.567 1.215
Rh 2.368 2.967 1.215
Rh 3.754 2.167 3.632
Rh 2.372 5.703 1.909
Rh 6.125 0.798 4.347
Rh 3.754 4.906 4.347
Rh 5.139 2.967 1.215
```

The theoretical density is 10.5 g/cm³. The value obtained for the density of states at the Fermi level is 1.11 states/eV/atom. The total energy is -7.396 eV per atom.